(1)
Computed, not measured: a geometry-optimized MgAg2Sb2 structure at the PBE level of DFT.

Values from the calculation:
space-group type	P4/mbm (127)
polymorph energy (0 for the lowest one)	0.000	eV/atom

Cell: 7.526 7.526 4.050 Å, 90.00 90.00 90.00°
Fractional coordinates of all 10 atoms:
Sb  0.175  0.675  0.500
Sb  0.325  0.175  0.500
Sb  0.825  0.325  0.500
Sb  0.675  0.825  0.500
Mg  0.500  0.500  0.000
Mg  0.000  0.000  0.000
Ag  0.632  0.132  0.000
Ag  0.368  0.868  0.000
Ag  0.132  0.368  0.000
Ag  0.868  0.632  0.000

(2)
Computed, not measured: a geometry-optimized MgAg2Sb structure at the PBE level of DFT.

Values from the calculation:
space-group type	R3m (160)

Cell: 9.219 9.219 9.219 Å, 20.67 20.67 20.67°
Fractional coordinates of all 4 atoms:
Ag  0.249  0.249  0.249
Ag  0.997  0.997  0.997
Sb  0.749  0.749  0.749
Mg  0.505  0.505  0.505

(3)
Computed, not measured: a geometry-optimized MgAgSb structure at the PBE level of DFT.

Values from the calculation:
space-group type	Imm2 (44)
polymorph energy (0 for the lowest one)	0.153	eV/atom

Cell: 5.351 5.351 5.351 Å, 143.36 132.70 61.28°
Fractional coordinates of all 3 atoms:
Sb  0.668  0.668  0.000
Ag  0.996  0.996  0.000
Mg  0.336  0.336  0.000

(4)
Computed, not measured: a geometry-optimized MgAgSb structure at the PBE level of DFT.

Values from the calculation:
space-group type	C2/m (12)
polymorph energy (0 for the lowest one)	0.068	eV/atom

Cell: 7.877 4.838 4.794 Å, 60.28 107.70 104.23°
Fractional coordinates of all 6 atoms:
Mg  0.201  0.908  0.304
Mg  0.489  0.573  0.116
Ag  0.970  0.201  0.543
Ag  0.720  0.280  0.878
Sb  0.098  0.554  0.930
Sb  0.592  0.927  0.490

(5)
Computed, not measured: a geometry-optimized MgAg2Sb structure at the PBE level of DFT.

Values from the calculation:
space-group type	I4/mmm (139)

Cell: 5.401 5.401 5.401 Å, 133.41 133.40 68.02°
Fractional coordinates of all 4 atoms:
Ag  0.500  0.500  0.000
Ag  0.000  0.000  0.000
Sb  0.250  0.750  0.500
Mg  0.750  0.250  0.500

(6)
Computed, not measured: a geometry-optimized MgAgSb structure at the PBE level of DFT.

Values from the calculation:
space-group type	Pnma (62)
polymorph energy (0 for the lowest one)	0.054	eV/atom

Cell: 7.674 4.500 8.004 Å, 90.00 90.00 90.00°
Fractional coordinates of all 12 atoms:
Sb  0.277  0.250  0.406
Sb  0.723  0.750  0.594
Sb  0.223  0.750  0.906
Sb  0.777  0.250  0.094
Ag  0.898  0.250  0.428
Ag  0.102  0.750  0.572
Ag  0.602  0.750  0.928
Ag  0.398  0.250  0.072
Mg  0.535  0.750  0.286
Mg  0.035  0.750  0.214
Mg  0.465  0.250  0.714
Mg  0.965  0.250  0.786

Number 1: N(E_F) 0.539 states/eV per atom, density 7.00 g/cm³, formation energy (no corrections) 5 kJ/mol of atoms. Number 2: N(E_F) 0.502 states/eV per atom, density 7.03 g/cm³, formation energy (no corrections) 3 kJ/mol of atoms. Number 3: N(E_F) 0.380 states/eV per atom, density 6.34 g/cm³, formation energy (no corrections) -7 kJ/mol of atoms. Number 4: N(E_F) 0.000 states/eV per atom, density 5.62 g/cm³, formation energy (no corrections) -15 kJ/mol of atoms. Number 5: N(E_F) 0.435 states/eV per atom, density 7.35 g/cm³, formation energy (no corrections) -9 kJ/mol of atoms. Number 6: N(E_F) 0.071 states/eV per atom, density 6.10 g/cm³, formation energy (no corrections) -16 kJ/mol of atoms.